# MnZnO2, optimized geometry, DFT PBE with a Hubbard U
data_MnZnO2
_chemical_formula_sum 'Mn4 Zn4 O8'
_symmetry_space_group_name_H-M 'P n m a'
_symmetry_Int_Tables_number 62
_cell_length_a 5.567
_cell_length_b 3.098
_cell_length_c 10.526
_cell_angle_alpha 90.00
_cell_angle_beta 90.00
_cell_angle_gamma 90.00
loop_
_symmetry_equiv_pos_as_xyz
'x,y,z'
'-x,-y,-z'
'-x+1/2,-y,z+1/2'
'x+1/2,y,-z+1/2'
'x+1/2,-y+1/2,-z+1/2'
'-x+1/2,y+1/2,z+1/2'
'-x,y+1/2,-z'
'x,-y+1/2,z'
loop_
_atom_site_label
_atom_site_type_symbol
_atom_site_fract_x
_atom_site_fract_y
_atom_site_fract_z
Mn1 Mn 0.106 0.250 0.135
Zn1 Zn 0.114 0.750 0.390
O1 O 0.088 0.250 0.765
O2 O 0.243 0.250 0.498
# **Electronic total energy**: -6.039 eV/atom